Record 1
Entry from Alexandria: an optimized crystal structure of Ta2Ru4Rh (GGA-PBE).

Geometry as POSCAR:
```
Ta2Ru4Rh
1.0
4.6066 -2.6302 0.0000
4.6066 2.6302 0.0000
0.0000 0.0000 9.2573
Ta Ru Rh
4 8 2
Direct
0.1631 0.1631 0.0000
0.3369 0.3369 0.5000
0.6631 0.6631 0.5000
0.8369 0.8369 0.0000
0.0687 0.4313 0.7500
0.1067 0.8933 0.7853
0.3933 0.6067 0.2853
0.4313 0.0687 0.2500
0.5687 0.9313 0.7500
0.6067 0.3933 0.7147
0.8933 0.1067 0.2147
0.9313 0.5687 0.2500
0.0000 0.0000 0.5000
0.5000 0.5000 0.0000
```

## Properties
The energy of formation comes out at 0.087 eV/atom. As for the symmetry: No. 64. The calculation puts the spin magnetization at 0.000 μB per atom.


Record 2
Entry from Alexandria: an optimized crystal structure of Ta2RuRh (GGA-PBE).

Geometry as POSCAR:
```
Ta2RuRh
1.0
2.9603 -3.6474 0.0000
2.9603 3.6474 0.0000
0.0000 0.0000 2.9727
Ta Ru Rh
2 1 1
Direct
0.0000 0.5000 0.0000
0.5000 0.0000 0.0000
0.0000 0.0000 0.5000
0.5000 0.5000 0.5000
```

## Properties
The energy of formation comes out at -0.365 eV/atom. As for the symmetry: No. 65. The calculation puts the spin magnetization at 0.000 μB per atom.


Record-wise calculated volume values, in Å³/cell: 224; 64
Record-wise D(E_F) values, in states/eV per atom: 1.1125; 1.0934
Record-wise uncorrected energy values, in eV/cell: -135.10; -41.79